[1]
A plane-wave DFT calculation with GGA-PBE was carried out for a relaxed structure of SiIr2Ru.

a b c (Å): 3.8440 3.8440 7.5005
angles (deg): 90.00 90.00 90.00
Closest atoms and distances in Å follow each position.
Space group I4/mmm (No. 139)
Unique sites:
Si (0.0000, 0.0000, 0.0000) x2  8 Ir 2.69, 4 Ru 2.72
Ir (0.0000, 0.5000, 0.2500) x4  4 Si 2.69, 4 Ru 2.69, 4 Ir 2.72
Ru (0.0000, 0.0000, 0.5000) x2  8 Ir 2.69, 4 Si 2.72


[2]
A plane-wave DFT calculation with GGA-PBE was carried out for a relaxed structure of SiIr2Ru.

a b c (Å): 2.7810 4.8011 8.6519
angles (deg): 90.00 90.00 90.00
Closest atoms and distances in Å follow each position.
Space group Cmmm (No. 65)
Unique sites:
Si (0.0000, 0.0000, 0.0000) x2  4 Ir 2.39
Ir (0.0000, 0.5000, 0.2244) x4  2 Si 2.39
Ru (0.0000, 0.0000, 0.5000) x2  4 Ir 2.76, 6 Ru 2.77-2.78


Number 1: ΔE_f (raw) -68.9 kJ/mol of formula units. Number 2: ΔE_f (raw) 53.1 kJ/mol of formula units.